No. 1
Below is Al2Ga2Pt after structural relaxation, with properties calculated at the PBE level.

Unit cell a=6.571 b=6.571 c=4.074 alpha=90.00 beta=90.00 gamma=90.00
Fractional positions:
Al 0.146 0.354 0.000
Al 0.354 0.854 0.000
Al 0.646 0.146 0.000
Al 0.854 0.646 0.000
Ga 0.163 0.663 0.500
Ga 0.337 0.163 0.500
Ga 0.663 0.837 0.500
Ga 0.837 0.337 0.500
Pt 0.000 0.000 0.000
Pt 0.500 0.500 0.000

Values from the calculation:
**Space group**: P4/mbm
**Crystal system**: tetragonal
**Distance to the lowest polymorph of the same formula**: 0 meV/atom
**Total magnetization**: 0.000 μB per atom

No. 2
Below is Al2GaPt5 after structural relaxation, with properties calculated at the PBE level.

Unit cell a=5.517 b=10.934 c=3.977 alpha=90.00 beta=90.00 gamma=90.00
Fractional positions:
Al 0.180 0.141 0.000
Al 0.320 0.641 0.000
Al 0.680 0.359 0.000
Al 0.820 0.859 0.000
Ga 0.000 0.500 0.500
Ga 0.500 0.000 0.500
Pt 0.000 0.000 0.500
Pt 0.070 0.734 0.500
Pt 0.210 0.391 0.000
Pt 0.290 0.891 0.000
Pt 0.430 0.234 0.500
Pt 0.500 0.500 0.500
Pt 0.570 0.766 0.500
Pt 0.710 0.109 0.000
Pt 0.790 0.609 0.000
Pt 0.930 0.266 0.500

Values from the calculation:
**E**: -5.896 eV/atom
**Space group**: Pbam
**Crystal system**: orthorhombic
**Total magnetization**: 0.000 μB per atom

No. 3
Below is Al3GaPt after structural relaxation, with properties calculated at the PBE level.

Unit cell a=4.681 b=4.681 c=4.681 alpha=90.00 beta=90.00 gamma=90.00
Fractional positions:
Al 0.000 0.000 0.500
Al 0.000 0.500 0.000
Al 0.500 0.000 0.000
Ga 0.000 0.000 0.000
Pt 0.500 0.500 0.500

Values from the calculation:
**Space group**: Pm-3m
**Crystal system**: cubic
**Distance to the lowest polymorph of the same formula**: 770 meV/atom
**Total magnetization**: 0.000 μB per atom

No. 4
Below is AlGaPt5 after structural relaxation, with properties calculated at the PBE level.

Unit cell a=6.230 b=6.230 c=6.888 alpha=111.19 beta=111.19 gamma=92.60
Fractional positions:
Al 0.202 0.798 0.750
Al 0.798 0.202 0.250
Ga 0.000 0.500 0.000
Ga 0.500 0.000 0.500
Pt 0.070 0.930 0.250
Pt 0.163 0.353 0.636
Pt 0.304 0.585 0.411
Pt 0.353 0.163 0.136
Pt 0.415 0.696 0.089
Pt 0.585 0.304 0.911
Pt 0.647 0.837 0.864
Pt 0.696 0.415 0.589
Pt 0.837 0.647 0.364
Pt 0.930 0.070 0.750

Values from the calculation:
**Space group**: C2/c
**Crystal system**: monoclinic
**Distance to the lowest polymorph of the same formula**: 52 meV/atom
**Total magnetization**: 0.000 μB per atom

No. 5
Below is AlGa8Pt6 after structural relaxation, with properties calculated at the PBE level.

Unit cell a=6.790 b=6.790 c=6.790 alpha=66.80 beta=66.80 gamma=66.80
Fractional positions:
Al 0.000 0.000 0.000
Ga 0.120 0.789 0.446
Ga 0.211 0.554 0.880
Ga 0.333 0.333 0.333
Ga 0.446 0.120 0.789
Ga 0.554 0.880 0.211
Ga 0.667 0.667 0.667
Ga 0.789 0.446 0.120
Ga 0.880 0.211 0.554
Pt 0.054 0.385 0.723
Pt 0.277 0.946 0.615
Pt 0.385 0.723 0.054
Pt 0.615 0.277 0.946
Pt 0.723 0.054 0.385
Pt 0.946 0.615 0.277

Values from the calculation:
**E**: -4.932 eV/atom
**Space group**: R-3
**Crystal system**: trigonal
**Total magnetization**: 0.000 μB per atom

No. 6
Below is AlGaPt2 after structural relaxation, with properties calculated at the PBE level.

Unit cell a=3.045 b=3.045 c=6.506 alpha=90.00 beta=90.00 gamma=90.00
Fractional positions:
Al 0.000 0.000 0.000
Ga 0.000 0.000 0.500
Pt 0.500 0.500 0.236
Pt 0.500 0.500 0.764

Values from the calculation:
**E**: -5.430 eV/atom
**Space group**: P4/mmm
**Crystal system**: tetragonal
**Total magnetization**: 0.000 μB per atom

No. 7
Below is Pu2AlGa4Pt3 after structural relaxation, with properties calculated at the PBE level.

Unit cell a=4.081 b=4.081 c=11.410 alpha=90.00 beta=90.00 gamma=90.00
Fractional positions:
Pu 0.000 0.500 0.247
Pu 0.500 0.000 0.753
Al 0.000 0.000 0.500
Ga 0.000 0.000 0.000
Ga 0.000 0.500 0.640
Ga 0.500 0.000 0.360
Ga 0.500 0.500 0.000
Pt 0.000 0.500 0.860
Pt 0.500 0.000 0.140
Pt 0.500 0.500 0.500

Values from the calculation:
**E**: -6.950 eV/atom
**Space group**: P-4m2
**Crystal system**: tetragonal
**Total magnetization**: 1.078 μB per atom

No. 8
Below is Pu2AlGaPt6 after structural relaxation, with properties calculated at the PBE level.

Unit cell a=5.579 b=5.579 c=8.465 alpha=109.20 beta=109.20 gamma=60.01
Fractional positions:
Pu 0.199 0.199 0.098
Pu 0.801 0.801 0.902
Al 0.500 0.500 0.000
Ga 0.000 0.000 0.500
Pt 0.249 0.748 0.246
Pt 0.252 0.252 0.754
Pt 0.252 0.751 0.754
Pt 0.748 0.249 0.246
Pt 0.748 0.748 0.246
Pt 0.751 0.252 0.754

Values from the calculation:
**E**: -7.833 eV/atom
**Space group**: C2/m
**Crystal system**: monoclinic
**Total magnetization**: 1.041 μB per atom

Q: The highest total magnetization belongs to which entry?
A: Pu2AlGa4Pt3